Computed, not measured: a geometry-optimized Mn3RuF structure at the GGA+U level of DFT.

Density of states at the Fermi level (states/eV per cell): 2.926
Distance to the lowest polymorph of the same formula (eV per formula unit): 0.00
Calculated volume (Å³/cell): 81

```
Mn3RuF
1.0
4.3313 0.0000 0.0000
0.0000 4.3313 0.0000
0.0000 0.0000 4.3313
Mn Ru F
3 1 1
Cartesian
0.0000 0.0000 2.1656 Mn
0.0000 2.1656 0.0000 Mn
2.1656 0.0000 0.0000 Mn
2.1656 2.1656 2.1656 Ru
0.0000 0.0000 0.0000 F
```